## CaGeTe (PBE)

Data for crystalline CaGeTe at its relaxed geometry.

The space group is Immm (No. 71) and the conventional cell measures 4.313, 4.778 and 17.225 Å, with angles of 90.00, 90.00 and 90.00 degrees. The distinct sites, in fractional coordinates, are Ca at (0.000, 0.000, 0.138), Ge at (0.000, 0.253, 0.500) and Te at (0.000, 0.000, 0.329).

The density of states at the Fermi level is 0.57 states/eV per atom. The calculation puts the uncorrected formation energy at -630 meV/atom.

## EuHoAu2 (PBE)

Data for crystalline EuHoAu2 at its relaxed geometry.

The space group is Fm-3m (No. 225) and the conventional cell measures 7.301, 7.301 and 7.301 Å, with angles of 90.00, 90.00 and 90.00 degrees. The distinct sites, in fractional coordinates, are Eu at (0.000, 0.000, 0.000), Ho at (0.000, 0.000, 0.500) and Au at (0.250, 0.250, 0.250).

Its calculated formation energy is -0.7812 eV/atom. The density of states at the Fermi level is 2.29 states/eV per atom. The energy above the lowest structure with this stoichiometry comes out at 48 meV/atom.

## LuVCoRu (PBE)

Data for crystalline LuVCoRu at its relaxed geometry.

The space group is F-43m (No. 216) and the conventional cell measures 6.249, 6.249 and 6.249 Å, with angles of 90.00, 90.00 and 90.00 degrees. The distinct sites, in fractional coordinates, are Lu at (0.000, 0.000, 0.000), V at (0.000, 0.000, 0.500), Co at (0.250, 0.250, 0.750) and Ru at (0.250, 0.250, 0.250).

Its calculated formation energy is -0.1456 eV/atom. The density of states at the Fermi level is 0.94 states/eV per atom.

## In5Sn2Bi5 (PBE)

Data for crystalline In5Sn2Bi5 at its relaxed geometry.

The space group is C2/m (No. 12) and the conventional cell measures 11.830, 5.506 and 11.905 Å, with angles of 90.00, 112.23 and 90.00 degrees. The distinct sites, in fractional coordinates, are In at (0.000, 0.000, 0.000), In at (0.230, 0.000, 0.562), In at (0.247, 0.000, 0.252), Sn at (0.022, 0.500, 0.191), Bi at (0.000, 0.500, 0.500), Bi at (0.015, 0.000, 0.690) and Bi at (0.214, 0.500, 0.062).

Its calculated formation energy is 0.0415 eV/atom. The density of states at the Fermi level is 0.40 states/eV per atom.

## Ce2SmTmSe5 (PBE)

Data for crystalline Ce2SmTmSe5 at its relaxed geometry.

The space group is P4/mmm (No. 123) and the conventional cell measures 5.076, 5.076 and 10.875 Å, with angles of 90.00, 90.00 and 90.00 degrees. The distinct sites, in fractional coordinates, are Ce at (0.000, 0.000, 0.195), Sm at (0.500, 0.500, 0.500), Tm at (0.500, 0.500, 0.000), Se at (0.000, 0.000, 0.500), Se at (0.000, 0.500, 0.000) and Se at (0.500, 0.500, 0.251).

The density of states at the Fermi level is 2.13 states/eV per atom. The calculation puts the uncorrected formation energy at -1340 meV/atom.

## ZrPb2 (PBE)

Data for crystalline ZrPb2 at its relaxed geometry.

The space group is Pnnm (No. 58) and the conventional cell measures 6.321, 8.291 and 3.311 Å, with angles of 90.00, 90.00 and 90.00 degrees. The distinct sites, in fractional coordinates, are Zr at (0.000, 0.000, 0.000) and Pb at (0.094, 0.313, 0.500).

Its calculated formation energy is 0.2054 eV/atom. The density of states at the Fermi level is 0.77 states/eV per atom.